DFT (GGA+U) results for a geometry-optimized Ba3NiGe2O8 structure.

Fermi-level density of states, states/eV/cell: 0.0
Theoretical density, g cm⁻³: 5.71
Uncorrected energy, eV per cell: -87.44

Structure (CIF):
```
data_Ba3NiGe2O8
_cell_length_a 5.7821
_cell_length_b 5.7821
_cell_length_c 7.4726
_cell_angle_alpha 90.00
_cell_angle_beta 90.00
_cell_angle_gamma 120.00
_symmetry_space_group_name_H-M 'P -3 m 1'
_symmetry_Int_Tables_number 164
_symmetry_space_group_name_Hall '-P 3 2"'
loop_
_atom_site_label
_atom_site_type_symbol
_atom_site_fract_x
_atom_site_fract_y
_atom_site_fract_z
Ba1 Ba 0.0000 0.0000 0.0000
Ba2 Ba 0.3333 0.6667 0.6595
Ni1 Ni 0.0000 0.0000 0.5000
Ge1 Ge 0.3333 0.6667 0.2287
O1 O 0.1677 0.3354 0.3207
O2 O 0.3333 0.6667 0.9968
```